# CdReBr | Alexandria via LeMat-Bulk | PBE | relaxed
# * E_tot: -3.551 eV/atom
# * spin magnetization: 5.3 μB/cell
# * ΔE to the lowest computed polymorph: 0.778 eV per atom
# * formation energy without anion corrections: 1.461 eV per atom
data_CdReBr
_chemical_formula_sum 'Cd4 Re4 Br4'
_cell_length_a 6.440
_cell_length_b 6.440
_cell_length_c 6.440
_cell_angle_alpha 90.00
_cell_angle_beta 90.00
_cell_angle_gamma 90.00
_space_group_name_H-M_alt 'F -4 3 m'
_space_group_IT_number 216
_space_group_name_Hall 'F -4 2 3'
loop_
_atom_site_label
_atom_site_fract_x
_atom_site_fract_y
_atom_site_fract_z
_atom_site_occupancy
Cd1 0.000 0.000 0.000 1
Re1 0.250 0.250 0.750 1
Br1 0.000 0.000 0.500 1